VASP calculation (PBE-GGA) on a relaxed structure of Nd2EuZn.

abc: 3.739 3.739 9.017
angles: 90.00 90.00 90.00
Element x y z (fractional)
1 Nd 0.000 0.000 0.195
2 Nd 0.000 0.000 0.805
3 Eu 0.500 0.500 0.500
4 Zn 0.500 0.500 0.000

***

VASP calculation (PBE-GGA) on a relaxed structure of Tl3Au2Br7.

abc: 13.848 13.848 13.848
angles: 157.31 157.31 32.30
Element x y z (fractional)
1 Tl 0.000 0.000 0.000
2 Tl 0.178 0.178 0.000
3 Tl 0.822 0.822 0.000
4 Au 0.400 0.400 0.000
5 Au 0.600 0.600 0.000
6 Br 0.095 0.595 0.500
7 Br 0.300 0.300 0.000
8 Br 0.405 0.905 0.500
9 Br 0.500 0.500 0.000
10 Br 0.595 0.095 0.500
11 Br 0.700 0.700 0.000
12 Br 0.905 0.405 0.500

Values from the calculation:
* formation energy (no corrections): -5.7 eV per formula unit

***

no.,DFT total energy (eV per atom),mass density (g cm⁻³)
1,-5.3910,6.66
2,-2.5868,6.59